Below is LiSiAu2Cl after structural relaxation, with properties calculated at the PBE-GGA level.

```
data_LiSiAu2Cl
_chemical_formula_sum 'Li1 Si1 Au2 Cl1'
_cell_length_a 4.6310
_cell_length_b 4.6310
_cell_length_c 6.5638
_cell_angle_alpha 90.00
_cell_angle_beta 90.00
_cell_angle_gamma 90.00
_symmetry_space_group_name_H-M 'P 1'
_symmetry_Int_Tables_number 1
loop_
_symmetry_equiv_pos_as_xyz
'x,y,z'
loop_
_atom_site_label
_atom_site_type_symbol
_atom_site_fract_x
_atom_site_fract_y
_atom_site_fract_z
Li1 Li 0.0000 0.0000 0.0000
Si1 Si 0.0000 0.0000 0.5000
Au1 Au 0.0000 0.5000 0.5000
Au2 Au 0.5000 0.0000 0.5000
Cl1 Cl 0.5000 0.5000 0.0000
```

Below is LiTl2AuCl6 after structural relaxation, with properties calculated at the PBE-GGA level.

```
data_LiTl2AuCl6
_chemical_formula_sum 'Li1 Tl2 Au1 Cl6'
_cell_length_a 6.9666
_cell_length_b 7.1832
_cell_length_c 7.2718
_cell_angle_alpha 113.84
_cell_angle_beta 113.19
_cell_angle_gamma 92.51
_symmetry_space_group_name_H-M 'P 1'
_symmetry_Int_Tables_number 1
loop_
_symmetry_equiv_pos_as_xyz
'x,y,z'
loop_
_atom_site_label
_atom_site_type_symbol
_atom_site_fract_x
_atom_site_fract_y
_atom_site_fract_z
Li1 Li 0.0000 0.0000 0.0000
Tl1 Tl 0.2122 0.7516 0.4823
Tl2 Tl 0.7878 0.2484 0.5177
Au1 Au 0.5000 0.5000 0.0000
Cl1 Cl 0.1566 0.1286 0.3865
Cl2 Cl 0.2032 0.6442 0.9174
Cl3 Cl 0.3535 0.3244 0.1416
Cl4 Cl 0.6465 0.6756 0.8584
Cl5 Cl 0.7968 0.3558 0.0826
Cl6 Cl 0.8434 0.8714 0.6135
```

Below is Mg3AuCl after structural relaxation, with properties calculated at the PBE-GGA level.

Properties
Offset from the most stable computed form, kJ per mole of atoms: 0.0

```
data_Mg3AuCl
_chemical_formula_sum 'Mg3 Au1 Cl1'
_cell_length_a 5.1715
_cell_length_b 5.1715
_cell_length_c 5.1715
_cell_angle_alpha 90.00
_cell_angle_beta 90.00
_cell_angle_gamma 90.00
_symmetry_space_group_name_H-M 'P 1'
_symmetry_Int_Tables_number 1
loop_
_symmetry_equiv_pos_as_xyz
'x,y,z'
loop_
_atom_site_label
_atom_site_type_symbol
_atom_site_fract_x
_atom_site_fract_y
_atom_site_fract_z
Mg1 Mg 0.0000 0.0000 0.5000
Mg2 Mg 0.0000 0.5000 0.0000
Mg3 Mg 0.5000 0.0000 0.0000
Au1 Au 0.0000 0.0000 0.0000
Cl1 Cl 0.5000 0.5000 0.5000
```

Below is Mg3AuCl after structural relaxation, with properties calculated at the PBE-GGA level.

Properties
Offset from the most stable computed form, kJ per mole of atoms: 38.6

```
data_Mg3AuCl
_chemical_formula_sum 'Mg3 Au1 Cl1'
_cell_length_a 4.8069
_cell_length_b 4.8069
_cell_length_c 4.8069
_cell_angle_alpha 90.00
_cell_angle_beta 90.00
_cell_angle_gamma 90.00
_symmetry_space_group_name_H-M 'P 1'
_symmetry_Int_Tables_number 1
loop_
_symmetry_equiv_pos_as_xyz
'x,y,z'
loop_
_atom_site_label
_atom_site_type_symbol
_atom_site_fract_x
_atom_site_fract_y
_atom_site_fract_z
Mg1 Mg 0.0000 0.0000 0.5000
Mg2 Mg 0.0000 0.5000 0.0000
Mg3 Mg 0.5000 0.0000 0.0000
Au1 Au 0.5000 0.5000 0.5000
Cl1 Cl 0.0000 0.0000 0.0000
```

Below is MgAu2Cl8 after structural relaxation, with properties calculated at the PBE-GGA level.

```
data_MgAu2Cl8
_chemical_formula_sum 'Mg1 Au2 Cl8'
_cell_length_a 8.3813
_cell_length_b 8.3813
_cell_length_c 5.0986
_cell_angle_alpha 91.59
_cell_angle_beta 91.59
_cell_angle_gamma 71.02
_symmetry_space_group_name_H-M 'P 1'
_symmetry_Int_Tables_number 1
loop_
_symmetry_equiv_pos_as_xyz
'x,y,z'
loop_
_atom_site_label
_atom_site_type_symbol
_atom_site_fract_x
_atom_site_fract_y
_atom_site_fract_z
Mg1 Mg 0.0000 0.0000 0.0000
Au1 Au 0.2250 0.2250 0.7443
Au2 Au 0.7750 0.7750 0.2557
Cl1 Cl 0.0795 0.7414 0.2441
Cl2 Cl 0.2138 0.2138 0.2457
Cl3 Cl 0.2586 0.9205 0.7559
Cl4 Cl 0.3925 0.3925 0.7496
Cl5 Cl 0.6075 0.6075 0.2504
Cl6 Cl 0.7414 0.0795 0.2441
Cl7 Cl 0.7862 0.7862 0.7543
Cl8 Cl 0.9205 0.2586 0.7559
```

Below is Mg4AuCl after structural relaxation, with properties calculated at the PBE-GGA level.

```
data_Mg4AuCl
_chemical_formula_sum 'Mg4 Au1 Cl1'
_cell_length_a 5.7793
_cell_length_b 5.7793
_cell_length_c 5.7793
_cell_angle_alpha 60.00
_cell_angle_beta 60.00
_cell_angle_gamma 60.00
_symmetry_space_group_name_H-M 'P 1'
_symmetry_Int_Tables_number 1
loop_
_symmetry_equiv_pos_as_xyz
'x,y,z'
loop_
_atom_site_label
_atom_site_type_symbol
_atom_site_fract_x
_atom_site_fract_y
_atom_site_fract_z
Mg1 Mg 0.1241 0.1241 0.1241
Mg2 Mg 0.1241 0.1241 0.6276
Mg3 Mg 0.1241 0.6276 0.1241
Mg4 Mg 0.6276 0.1241 0.1241
Au1 Au 0.7500 0.7500 0.7500
Cl1 Cl 0.5000 0.5000 0.5000
```

Theoretical density list, top to bottom, in g cm⁻³: 5.48 4.62 3.67 4.56 3.44 4.01
E list, top to bottom, in eV/cell: -16.1 -29.8 -11.9 -9.9 -28.0 -11.6